# 1
Here is a relaxed structure of MnSiMo3 from Alexandria. Energies are from PBEsol.

Summary:
* V: 83.2 Å³/f.u.
* mass density: 7.40 g/cm3
* raw total energy: -8.995 eV per atom
* size of the total moment: 0.000 Bohr magnetons per cell
* energy relative to the elements, uncorrected: 5.837 eV/f.u.
* space-group type: No. 221

Cell: 4.3661 4.3661 4.3661 Å, 90.00 90.00 90.00°
Closest atoms and distances in Å follow each position.
Fractional positions:
Mo: 0.0000 0.5000 0.0000  2 Mn 2.18
Mo: 0.0000 0.0000 0.5000  2 Mn 2.18
Mo: 0.5000 0.0000 0.0000  2 Mn 2.18
Mn: 0.0000 0.0000 0.0000  6 Mo 2.18
Si: 0.5000 0.5000 0.5000  12 Mo 3.09

=====

# 2
Here is a relaxed structure of KCoNi2 from Alexandria. Energies are from PBEsol.

Summary:
* V: 63.8 Å³/f.u.
* mass density: 5.60 g/cm3
* raw total energy: -4.652 eV per atom
* size of the total moment: 2.664 Bohr magnetons per cell
* energy relative to the lowest polymorph listed for this composition: 71 meV per atom
* space-group type: No. 25
* E_form: 62.2 kJ per mole of atoms

Cell: 2.5639 3.4226 7.2749 Å, 90.00 90.00 90.00°
Closest atoms and distances in Å follow each position.
Fractional positions:
Co: 0.0000 0.0000 0.4019  5 Ni 2.29-2.39
K: 0.5000 0.5000 0.7554  2 K 2.56
Ni: 0.0000 0.0000 0.0877  1 Co 2.29, 4 Ni 2.46
Ni: 0.5000 0.5000 0.2550  4 Co 2.39, 6 Ni 2.46-2.56